<1>
{"formula": "LiIr3Br", "functional": "GGA-PBE", "state": "relaxed", "cell": [[-3.7519, -1.6822, 2.1390], [-0.6672, -2.9632, -3.5008], [2.6382, -3.1418, 2.1566]], "species": ["Li", "Ir", "Br", "Ir", "Ir"], "frac_coords": [[0.5000, 0.5000, 0.5000], [0.0000, 0.5000, 0.0000], [0.0000, 0.0000, 0.0000], [0.5000, 0.0000, 0.0000], [0.0000, 0.0000, 0.5000]], "dos_ef_per_ev_fu": 5.88}

---

<2>
{"formula": "LiIr3Br", "functional": "GGA-PBE", "state": "relaxed", "cell": [[4.2758, 0.0000, 0.0000], [0.0000, 4.2758, 0.0000], [0.0000, 0.0000, 4.2758]], "species": ["Ir", "Ir", "Li", "Br", "Ir"], "frac_coords": [[0.5000, 0.0000, 0.0000], [0.0000, 0.0000, 0.5000], [0.0000, 0.0000, 0.0000], [0.5000, 0.5000, 0.5000], [0.0000, 0.5000, 0.0000]], "dos_ef_per_ev_fu": 10.93}

---

Stability, descending: <2>, <1>

---

<1>
{"formula": "LiIr2SBr", "functional": "GGA-PBE", "state": "relaxed", "cell": [[-3.6753, 2.3519, -1.7681], [-1.9879, -3.7978, -0.9195], [-2.0248, 0.0309, 4.2502]], "species": ["Br", "Li", "S", "Ir", "Ir"], "frac_coords": [[0.0000, 0.0000, 0.0000], [0.0000, 0.5000, 0.0000], [0.5000, 0.5000, 0.5000], [0.0000, 0.0000, 0.5000], [0.5000, 0.0000, 0.0000]], "dos_ef_per_ev_fu": 6.50}

---

<2>
{"formula": "LiIr2SBr", "functional": "GGA-PBE", "state": "relaxed", "cell": [[4.2476, 0.0000, 0.0000], [0.0000, 7.5556, 0.0000], [0.0000, 0.0000, 4.2476]], "species": ["Ir", "S", "Li", "Br", "Ir"], "frac_coords": [[0.5000, 0.0000, 0.0000], [0.0000, 0.0000, 0.0000], [0.5000, 0.5000, 0.5000], [0.0000, 0.5000, 0.0000], [0.0000, 0.0000, 0.5000]], "dos_ef_per_ev_fu": 2.14}

---

Stability, descending: <2>, <1>